Entry 1:
DFT (PBE-GGA) results for crystalline Ca2AcInP at its relaxed geometry.

Values from the calculation:
Symmetry = P4mm, No. 99
V = 35.036 Å³/atom
ΔH_f (0 K) = -0.64 eV per atom

Lattice parameters (Å, degrees): 5.415 5.415 5.975 90.00 90.00 90.00
Site moments in Bohr magnetons follow the coordinates.
Element x y z (fractional)
Ca 0.000 0.500 0.999  0.01
Ca 0.500 0.000 0.999  0.01
Ac 0.000 0.000 0.500  0.07
In 0.500 0.500 0.501  0.07
P 0.000 0.000 0.000  0.00

---

Entry 2:
DFT (PBE-GGA) results for crystalline PrDy3Er12 at its relaxed geometry.

Values from the calculation:
Symmetry = P4/mmm, No. 123
V = 30.976 Å³/atom
ΔH_f (0 K) = 0.02 eV per atom

Lattice parameters (Å, degrees): 4.985 4.985 19.945 90.00 90.00 90.00
Element x y z (fractional)
Pr 0.000 0.000 0.000
Dy 0.000 0.000 0.251
Dy 0.000 0.000 0.500
Dy 0.000 0.000 0.749
Er 0.500 0.500 0.000
Er 0.500 0.500 0.252
Er 0.500 0.500 0.500
Er 0.500 0.500 0.748
Er 0.500 0.000 0.127
Er 0.500 0.000 0.376
Er 0.500 0.000 0.624
Er 0.500 0.000 0.873
Er 0.000 0.500 0.127
Er 0.000 0.500 0.376
Er 0.000 0.500 0.624
Er 0.000 0.500 0.873

---

Entry 3:
DFT (PBE-GGA) results for crystalline NbGaSe at its relaxed geometry.

Values from the calculation:
Symmetry = P4/nmm, No. 129
V = 19.667 Å³/atom
Raw formation energy = -0.481 eV per atom

Lattice parameters (Å, degrees): 3.272 3.272 11.020 90.00 90.00 90.00
Element x y z (fractional)
Se 0.000 0.500 0.657
Se 0.500 0.000 0.343
Nb 0.500 0.000 0.784
Nb 0.000 0.500 0.216
Ga 0.000 0.500 0.938
Ga 0.500 0.000 0.062

---

Entry 4:
DFT (PBE-GGA) results for crystalline MgRePCl2 at its relaxed geometry.

Values from the calculation:
Symmetry = P4/mmm, No. 123
Excess energy over the best structure of this formula in the dataset = 396 meV/atom
V = 23.910 Å³/atom
Raw formation energy = 0.597 eV per atom

Lattice parameters (Å, degrees): 4.480 4.480 5.957 90.00 90.00 90.00
Site moments in Bohr magnetons follow the coordinates.
Element x y z (fractional)
Re 0.500 0.500 0.500  3.81
Mg 0.000 0.000 0.000  0.00
P 0.000 0.000 0.500  -0.29
Cl 0.000 0.500 0.000  0.01
Cl 0.500 0.000 0.000  0.01

---

Entry 5:
DFT (PBE-GGA) results for crystalline Hf3AgW at its relaxed geometry.

Values from the calculation:
Symmetry = Pm-3m, No. 221
Excess energy over the best structure of this formula in the dataset = 0 meV/atom
V = 25.899 Å³/atom
ΔH_f (0 K) = 0.97 eV per atom

Lattice parameters (Å, degrees): 5.059 5.059 5.059 90.00 90.00 90.00
Element x y z (fractional)
Hf 0.000 0.500 0.000
Hf 0.000 0.000 0.500
Hf 0.500 0.000 0.000
Ag 0.500 0.500 0.500
W 0.000 0.000 0.000

---

Entry 6:
DFT (PBE-GGA) results for crystalline TaMnCuRu at its relaxed geometry.

Values from the calculation:
Symmetry = F-43m, No. 216
V = 14.259 Å³/atom
ΔH_f (0 K) = -0.04 eV per atom

Lattice parameters (Å, degrees): 4.321 4.321 4.321 60.00 60.00 60.00
Site moments in Bohr magnetons follow the coordinates.
Element x y z (fractional)
Ru 0.750 0.750 0.750  0.27
Mn 0.250 0.250 0.250  2.87
Cu 0.500 0.500 0.500  0.12
Ta 0.000 0.000 0.000  -0.32

---

Entry 7:
DFT (PBE-GGA) results for crystalline Rb2NaWBr6 at its relaxed geometry.

Values from the calculation:
Symmetry = Fm-3m, No. 225
V = 33.714 Å³/atom
Raw formation energy = -1.106 eV per atom

Lattice parameters (Å, degrees): 7.813 7.813 7.812 59.99 59.99 90.00
Site moments in Bohr magnetons follow the coordinates.
Element x y z (fractional)
Na 0.500 0.500 0.000  0.00
Br 0.236 0.236 0.528  0.02
Br 0.764 0.764 0.472  0.02
Br 0.236 0.236 0.000  0.02
Br 0.764 0.764 0.000  0.02
Br 0.764 0.236 0.000  0.02
Br 0.236 0.764 0.000  0.02
Rb 0.750 0.250 0.500  0.00
Rb 0.250 0.750 0.500  0.00
W 0.000 0.000 0.000  2.21

---

Entry 8:
DFT (PBE-GGA) results for crystalline Sr2CaCd3In4 at its relaxed geometry.

Values from the calculation:
Symmetry = P-4m2, No. 115
V = 29.772 Å³/atom
ΔH_f (0 K) = -0.30 eV per atom

Lattice parameters (Å, degrees): 4.671 4.671 13.646 90.00 90.00 90.00
Element x y z (fractional)
Sr 0.500 0.000 0.230
Sr 0.000 0.500 0.770
Ca 0.500 0.500 0.500
Cd 0.000 0.000 0.500
Cd 0.500 0.000 0.863
Cd 0.000 0.500 0.137
In 0.500 0.500 0.000
In 0.000 0.000 0.000
In 0.500 0.000 0.654
In 0.000 0.500 0.346

---

Entry 9:
DFT (PBE-GGA) results for crystalline RbLiPm2O4 at its relaxed geometry.

Values from the calculation:
Symmetry = Cmcm, No. 63
V = 16.314 Å³/atom
Raw formation energy = -2.715 eV per atom

Lattice parameters (Å, degrees): 3.603 6.319 11.962 90.00 90.00 106.56
Element x y z (fractional)
Rb 0.099 0.197 0.750
Rb 0.901 0.803 0.250
Li 0.819 0.638 0.750
Li 0.181 0.362 0.250
Pm 0.366 0.732 0.558
Pm 0.634 0.268 0.058
Pm 0.634 0.268 0.442
Pm 0.366 0.732 0.942
O 0.250 0.499 0.101
O 0.750 0.501 0.601
O 0.750 0.501 0.899
O 0.250 0.499 0.399
O 0.000 0.000 0.500
O 0.000 0.000 0.000
O 0.398 0.796 0.750
O 0.602 0.204 0.250

---

Entry 10:
DFT (PBE-GGA) results for crystalline Hf3TiGa3 at its relaxed geometry.

Values from the calculation:
Symmetry = C2/m, No. 12
V = 19.046 Å³/atom
ΔH_f (0 K) = -0.28 eV per atom

Lattice parameters (Å, degrees): 5.685 5.685 8.664 90.63 90.63 107.75
Element x y z (fractional)
Hf 0.573 0.573 0.323
Hf 0.181 0.819 0.500
Hf 0.819 0.181 0.500
Hf 0.235 0.765 0.000
Hf 0.765 0.235 0.000
Hf 0.427 0.427 0.677
Ti 0.704 0.704 0.970
Ti 0.296 0.296 0.030
Ga 0.973 0.973 0.230
Ga 0.951 0.522 0.743
Ga 0.522 0.951 0.743
Ga 0.049 0.478 0.257
Ga 0.478 0.049 0.257
Ga 0.027 0.027 0.770

---

Entry 11:
DFT (PBE-GGA) results for crystalline Mg2CrOsC at its relaxed geometry.

Values from the calculation:
Symmetry = P4/mmm, No. 123
V = 21.187 Å³/atom
ΔH_f (0 K) = 2.22 eV per atom

Lattice parameters (Å, degrees): 4.988 4.259 4.988 90.00 90.00 90.00
Site moments in Bohr magnetons follow the coordinates.
Element x y z (fractional)
Cr 0.000 0.000 0.000  1.72
Mg 0.000 0.000 0.500  0.00
Mg 0.500 0.000 0.000  0.01
Os 0.000 0.500 0.000  -0.34
C 0.500 0.500 0.500  0.47

---

Entry 12:
DFT (PBE-GGA) results for crystalline MnCd2Co2 at its relaxed geometry.

Values from the calculation:
Symmetry = P4/mbm, No. 127
V = 15.471 Å³/atom
ΔH_f (0 K) = 0.31 eV per atom

Lattice parameters (Å, degrees): 6.090 6.090 4.172 90.00 90.00 90.00
Site moments in Bohr magnetons follow the coordinates.
Element x y z (fractional)
Mn 0.000 0.000 0.000  3.25
Mn 0.500 0.500 0.000  3.25
Co 0.372 0.872 0.000  0.14
Co 0.872 0.628 0.000  0.19
Co 0.628 0.128 0.000  0.14
Co 0.128 0.372 0.000  0.19
Cd 0.176 0.676 0.500  -0.03
Cd 0.676 0.824 0.500  -0.03
Cd 0.824 0.324 0.500  -0.03
Cd 0.324 0.176 0.500  -0.03